[1]
The following is a GGA-PBE calculation of BaBiSb3 after structural relaxation, from Alexandria.

abc: 5.889 5.889 5.889
angles: 90.00 90.00 90.00
Sites, in units of the cell vectors:
Ba: 0.000 0.000 0.000
Bi: 0.500 0.500 0.500
Sb: 0.000 0.500 0.500
Sb: 0.500 0.000 0.500
Sb: 0.500 0.500 0.000

- Energy: -3.502 eV/atom
- E_form (uncorrected): 0.132 eV/atom
- ρ: 5786 kg/m3
- D(E_F): 7.2 states/eV/cell

[2]
The following is a GGA-PBE calculation of Tb2TmB6 after structural relaxation, from Alexandria.

abc: 5.691 5.691 3.872
angles: 90.00 90.00 120.00
Sites, in units of the cell vectors:
Tb: 0.333 0.667 0.000
Tb: 0.667 0.333 0.000
Tm: 0.000 0.000 0.000
B: 0.000 0.330 0.500
B: 0.000 0.670 0.500
B: 0.330 0.000 0.500
B: 0.330 0.330 0.500
B: 0.670 0.000 0.500
B: 0.670 0.670 0.500

- Energy: -6.548 eV/atom
- ρ: 8435 kg/m3
- Formation energy from the elements: -0.57 eV/atom
- D(E_F): 2.1 states/eV/cell

[3]
The following is a GGA-PBE calculation of OsI2NO after structural relaxation, from Alexandria.

abc: 5.410 5.410 3.710
angles: 90.00 90.00 90.00
Sites, in units of the cell vectors:
Os: 0.000 0.000 0.000
I: 0.000 0.500 0.000
I: 0.500 0.000 0.000
N: 0.500 0.500 0.500
O: 0.000 0.000 0.500

- Energy: -4.317 eV/atom
- E_form (uncorrected): 1.205 eV/atom
- ρ: 7248 kg/m3
- D(E_F): 6.5 states/eV/cell

[4]
The following is a GGA-PBE calculation of MgCdCl2 after structural relaxation, from Alexandria.

abc: 5.236 5.236 5.216
angles: 114.80 114.80 99.04
Sites, in units of the cell vectors:
Mg: 0.000 0.000 0.000
Cd: 0.500 0.500 0.000
Cl: 0.000 0.500 0.500
Cl: 0.500 0.000 0.500

- Energy: -2.150 eV/atom
- E_form (uncorrected): -0.599 eV/atom
- ρ: 3199 kg/m3
- D(E_F): 2.1 states/eV/cell